Entry 1:
Al2HgBrN | PBE | relaxed

- Space-group type: No. 123
- Raw formation energy: 120 kJ/mol of atoms
- DOS(E_F): 0.763 states/eV per atom
- Energy: -2.317 eV/atom

Unit cell a=5.352 b=5.352 c=3.869 alpha=90.00 beta=90.00 gamma=90.00
Fractional positions:
Al (0.000, 0.500, 0.000)
Al (0.500, 0.000, 0.000)
Hg (0.000, 0.000, 0.500)
Br (0.500, 0.500, 0.000)
N (0.500, 0.500, 0.500)

Entry 2:
NbMo | PBE | relaxed

- Space-group type: No. 124
- Energy of formation: 0.556 eV per atom
- DOS(E_F): 0.952 states/eV per atom
- Energy: -9.894 eV/atom

Unit cell a=7.629 b=7.629 c=5.026 alpha=90.00 beta=90.00 gamma=90.00
Fractional positions:
Nb (0.057, 0.280, 0.000)
Nb (0.057, 0.720, 0.500)
Nb (0.280, 0.057, 0.500)
Nb (0.280, 0.943, 0.000)
Nb (0.720, 0.057, 0.000)
Nb (0.720, 0.943, 0.500)
Nb (0.943, 0.280, 0.500)
Nb (0.943, 0.720, 0.000)
Mo (0.270, 0.430, 0.500)
Mo (0.270, 0.570, 0.000)
Mo (0.430, 0.270, 0.000)
Mo (0.430, 0.730, 0.500)
Mo (0.570, 0.270, 0.500)
Mo (0.570, 0.730, 0.000)
Mo (0.730, 0.430, 0.000)
Mo (0.730, 0.570, 0.500)